[1]
! SbAu3 | Alexandria via LeMat-Bulk | PBE | relaxed; values from VASP
&SYSTEM
  ibrav = 0, nat = 8, ntyp = 2
/
ATOMIC_SPECIES
Sb 121.76 Sb.upf
Au 196.97 Au.upf
CELL_PARAMETERS angstrom
-2.1649 2.1649 8.5155
2.1649 -2.1649 8.5155
2.1649 2.1649 -8.5155
ATOMIC_POSITIONS crystal
Sb 0.1254 0.1254 0.0000
Sb 0.8746 0.8746 0.0000
Au 0.0000 0.5000 0.5000
Au 0.2500 0.7500 0.5000
Au 0.3750 0.3750 0.0000
Au 0.5000 0.0000 0.5000
Au 0.6250 0.6250 0.0000
Au 0.7500 0.2500 0.5000
! total DFT energy (no corrections)	-27.522	eV per cell
! ΔE_f (raw)	0.05	eV per atom
! symmetry	I4/mmm, No. 139
! size of the total moment	0.00	μB per atom

[2]
! Sb3Au | Alexandria via LeMat-Bulk | PBE | relaxed; values from VASP
&SYSTEM
  ibrav = 0, nat = 4, ntyp = 2
/
ATOMIC_SPECIES
Sb 121.76 Sb.upf
Au 196.97 Au.upf
CELL_PARAMETERS angstrom
1.9228 -2.6098 0.0000
1.9228 2.6098 0.0000
0.0000 0.0000 9.9956
ATOMIC_POSITIONS crystal
Sb 0.0000 0.0000 0.0000
Sb 0.5000 0.5000 0.2811
Sb 0.5000 0.5000 0.7189
Au 0.0000 0.0000 0.5000
! energy relative to the lowest polymorph listed for this composition	194	meV/atom
! total DFT energy (no corrections)	-14.926	eV per cell
! ΔE_f (raw)	0.18	eV per atom
! symmetry	Cmmm, No. 65
! size of the total moment	0.00	μB per atom

[3]
! SbAu3 | Alexandria via LeMat-Bulk | PBE | relaxed; values from VASP
&SYSTEM
  ibrav = 0, nat = 4, ntyp = 2
/
ATOMIC_SPECIES
Sb 121.76 Sb.upf
Au 196.97 Au.upf
CELL_PARAMETERS angstrom
4.7029 -1.8513 0.0000
4.7029 1.8513 0.0000
-1.0311 0.0000 4.7003
ATOMIC_POSITIONS crystal
Sb 0.0000 0.0000 0.0000
Au 0.2527 0.2527 0.7444
Au 0.5000 0.5000 0.5000
Au 0.7473 0.7473 0.2556
! total DFT energy (no corrections)	-13.756	eV per cell
! ΔE_f (raw)	0.05	eV per atom
! symmetry	C2/m, No. 12
! size of the total moment	0.00	μB per atom

[4]
! Sb2Au13 | Alexandria via LeMat-Bulk | PBE | relaxed; values from VASP
&SYSTEM
  ibrav = 0, nat = 15, ntyp = 2
/
ATOMIC_SPECIES
Sb 121.76 Sb.upf
Au 196.97 Au.upf
CELL_PARAMETERS angstrom
3.6677 2.1176 7.4988
-3.6677 2.1176 7.4988
0.0000 -4.2351 7.4988
ATOMIC_POSITIONS crystal
Sb 0.1336 0.1336 0.1336
Sb 0.8664 0.8664 0.8664
Au 0.0000 0.0000 0.0000
Au 0.1099 0.1099 0.4972
Au 0.1099 0.4972 0.1099
Au 0.2444 0.2444 0.6182
Au 0.2444 0.6182 0.2444
Au 0.3818 0.7556 0.7556
Au 0.4972 0.1099 0.1099
Au 0.5028 0.8901 0.8901
Au 0.6182 0.2444 0.2444
Au 0.7556 0.3818 0.7556
Au 0.7556 0.7556 0.3818
Au 0.8901 0.5028 0.8901
Au 0.8901 0.8901 0.5028
! energy relative to the lowest polymorph listed for this composition	27	meV/atom
! total DFT energy (no corrections)	-48.735	eV per cell
! ΔE_f (raw)	0.14	eV per atom
! symmetry	R-3m, No. 166
! size of the total moment	0.00	μB per atom

[5]
! SbAu3 | Alexandria via LeMat-Bulk | PBE | relaxed; values from VASP
&SYSTEM
  ibrav = 0, nat = 4, ntyp = 2
/
ATOMIC_SPECIES
Sb 121.76 Sb.upf
Au 196.97 Au.upf
CELL_PARAMETERS angstrom
3.6914 0.0000 0.0000
0.0000 3.6914 0.0000
0.0000 0.0000 5.9004
ATOMIC_POSITIONS crystal
Sb 0.0000 0.0000 0.0000
Au 0.0000 0.0000 0.5000
Au 0.5000 0.5000 0.2565
Au 0.5000 0.5000 0.7435
! total DFT energy (no corrections)	-13.752	eV per cell
! ΔE_f (raw)	0.05	eV per atom
! symmetry	P4/mmm, No. 123
! size of the total moment	0.00	μB per atom

[6]
! Sb3Au | Alexandria via LeMat-Bulk | PBE | relaxed; values from VASP
&SYSTEM
  ibrav = 0, nat = 16, ntyp = 2
/
ATOMIC_SPECIES
Sb 121.76 Sb.upf
Au 196.97 Au.upf
CELL_PARAMETERS angstrom
6.5183 0.0000 0.0000
-3.2592 5.6450 0.0000
0.0000 0.0000 10.9413
ATOMIC_POSITIONS crystal
Sb 0.0000 0.5000 0.0000
Sb 0.0000 0.5000 0.5000
Sb 0.1622 0.3244 0.2500
Sb 0.1622 0.8378 0.2500
Sb 0.3244 0.1622 0.7500
Sb 0.5000 0.0000 0.0000
Sb 0.5000 0.0000 0.5000
Sb 0.5000 0.5000 0.0000
Sb 0.5000 0.5000 0.5000
Sb 0.6756 0.8378 0.2500
Sb 0.8378 0.1622 0.7500
Sb 0.8378 0.6756 0.7500
Au 0.0000 0.0000 0.0000
Au 0.0000 0.0000 0.5000
Au 0.3333 0.6667 0.7500
Au 0.6667 0.3333 0.2500
! energy relative to the lowest polymorph listed for this composition	272	meV/atom
! total DFT energy (no corrections)	-58.448	eV per cell
! ΔE_f (raw)	0.26	eV per atom
! symmetry	P6_3/mmc, No. 194
! size of the total moment	0.00	μB per atom

[7]
! Sb2Au3 | Alexandria via LeMat-Bulk | PBE | relaxed; values from VASP
&SYSTEM
  ibrav = 0, nat = 10, ntyp = 2
/
ATOMIC_SPECIES
Sb 121.76 Sb.upf
Au 196.97 Au.upf
CELL_PARAMETERS angstrom
0.0000 6.9087 2.8517
5.7599 0.0000 2.8517
5.7599 6.9087 0.0000
ATOMIC_POSITIONS crystal
Sb 0.0794 0.9206 0.2808
Sb 0.5308 0.9692 0.3294
Sb 0.9206 0.0794 0.7192
Sb 0.9692 0.5308 0.1706
Au 0.1413 0.1413 0.8587
Au 0.3913 0.3913 0.1087
Au 0.3951 0.6082 0.3139
Au 0.5672 0.9361 0.6418
Au 0.6082 0.3951 0.6828
Au 0.9361 0.5672 0.8549
! total DFT energy (no corrections)	-35.970	eV per cell
! ΔE_f (raw)	0.02	eV per atom
! symmetry	Fdd2, No. 43
! size of the total moment	0.00	μB per atom

[8]
! Sb3Au | Alexandria via LeMat-Bulk | PBE | relaxed; values from VASP
&SYSTEM
  ibrav = 0, nat = 4, ntyp = 2
/
ATOMIC_SPECIES
Sb 121.76 Sb.upf
Au 196.97 Au.upf
CELL_PARAMETERS angstrom
3.8360 0.0000 0.0000
0.0000 3.8360 0.0000
0.0000 0.0000 6.8224
ATOMIC_POSITIONS crystal
Sb 0.0000 0.0000 0.0000
Sb 0.5000 0.5000 0.2789
Sb 0.5000 0.5000 0.7211
Au 0.0000 0.0000 0.5000
! energy relative to the lowest polymorph listed for this composition	210	meV/atom
! total DFT energy (no corrections)	-14.862	eV per cell
! ΔE_f (raw)	0.20	eV per atom
! symmetry	P4/mmm, No. 123
! size of the total moment	0.00	μB per atom

Quick rundown of ρ, same order as above: 14.825; 9.306; 14.459; 13.325; 14.718; 9.276; 12.210; 9.300 g/cm³